1.
8
Lattice="3.715 0.000 0.000 0.000 5.214 0.027 0.000 0.020 5.214" Properties=species:S:1:pos:R:3 comment="meta-GGA SCAN Fe3Tc5, single point on PBEsol structure" ef_mev_per_atom=71 e_tot_ev_per_cell=-229.12 n_ef_per_ev_fu=6.1 pbc="T T T"
Tc 1.857 3.861 1.379
Tc 0.000 0.000 0.000
Tc 1.857 1.373 3.863
Tc 0.000 0.010 2.607
Tc 0.000 2.607 0.014
Fe 1.857 1.325 1.326
Fe 0.000 2.617 2.621
Fe 1.857 3.910 3.915

***

2.
4
Lattice="-2.547 -0.288 -1.297 -0.696 -3.374 2.115 -0.098 4.001 2.487" Properties=species:S:1:pos:R:3 comment="meta-GGA SCAN Fe3Tc, single point on PBEsol structure" ef_mev_per_atom=38 e_tot_ev_per_cell=-89.29 n_ef_per_ev_fu=2.7 pbc="T T T"
Fe -1.273 -0.144 -0.648
Fe -2.501 -0.720 1.891
Fe -0.840 1.060 1.414
Tc -0.348 -1.687 1.058